Here is CoCu2Re at its PBEsol-relaxed geometry from Alexandria via LeMat-Bulk. Energies are from SCAN.

As for the space group: C2/m, No. 12. The value obtained for the formation enthalpy at 0 K is 0.4054 eV/atom. Its total energy is -117.18 eV/f.u. For the density, the calculation gives 12.819 Mg/m³. As for the crystal system: monoclinic. The excess energy over the best structure of this formula in the dataset comes out at 42 kJ/mol of formula units.

a = 5.007 Å, b = 5.007 Å, c = 2.516 Å
α = 102.65°, β = 102.65°, γ = 121.31°
Sites, in units of the cell vectors:
Co 0.000 0.000 0.000
Cu 0.000 0.500 0.500
Cu 0.500 0.000 0.500
Re 0.500 0.500 0.000